# ScWBr2

A relaxed ScWBr2 crystal (PBE, the Alexandria database).

Values from the calculation:
* ΔE_f (raw): -0.16 eV per formula unit
* SG: C2/m (12)
* spin magnetization: 0.0 μB per formula unit
* E: -22.793 eV for the cell shown
* distance to the lowest polymorph of the same formula: 290.2 meV/atom

Lattice parameters (Å, degrees): 7.5942 7.5942 4.5337 87.26 87.26 25.30
Last column: nearest neighbours and their distance in Å.
Fractional positions:
Br: 0.1067 0.1067 0.9748  1 W 2.52
Br: 0.3933 0.3933 0.5252  1 W 2.52
Sc: 0.7500 0.7500 0.7500  4 W 2.81, 4 Br 2.85
W: 0.2500 0.2500 0.2500  2 Br 2.52, 4 Sc 2.81

# Rh2C2Se

A relaxed Rh2C2Se crystal (PBE, the Alexandria database).

Values from the calculation:
* ΔE_f (raw): 2.60 eV per formula unit
* SG: P4/mbm (127)
* spin magnetization: 0.0 μB per formula unit
* E: -68.061 eV for the cell shown
* distance to the lowest polymorph of the same formula: 0.0 meV/atom

Lattice parameters (Å, degrees): 6.9647 6.9647 2.8597 90.00 90.00 90.00
Last column: nearest neighbours and their distance in Å.
Fractional positions:
Se: 0.0000 0.0000 0.0000  4 Rh 2.49
Se: 0.5000 0.5000 0.0000  4 Rh 2.49
Rh: 0.2906 0.2094 0.0000  2 C 1.99
Rh: 0.2094 0.7094 0.0000  2 C 1.99
Rh: 0.7094 0.7906 0.0000  2 C 1.99
Rh: 0.7906 0.2906 0.0000  2 C 1.99
C: 0.9316 0.4316 0.5000  1 C 1.35
C: 0.0684 0.5684 0.5000  1 C 1.35
C: 0.4316 0.0684 0.5000  1 C 1.35
C: 0.5684 0.9316 0.5000  1 C 1.35

# BeMo2W

A relaxed BeMo2W crystal (PBE, the Alexandria database).

Values from the calculation:
* energy relative to the elements: 0.176 eV/atom
* SG: Pm (6)
* spin magnetization: 0.0 μB per formula unit
* E: -37.637 eV for the cell shown

Lattice parameters (Å, degrees): 4.3647 2.6746 5.1180 80.01 90.00 90.00
Last column: nearest neighbours and their distance in Å.
Fractional positions:
Mo: 0.5000 0.2442 0.2495  2 Be 2.67-2.68, 4 Mo 2.67-2.68, 2 W 2.70
Mo: 0.0000 0.9983 0.9952  2 W 2.63-2.72, 2 Be 2.65, 4 Mo 2.67-2.68
Be: 0.5000 0.7551 0.7501  4 Mo 2.65-2.68, 2 W 2.66, 2 Be 2.67
W: 0.0000 0.5025 0.5053  4 Mo 2.63-2.72, 2 Be 2.66, 2 W 2.67